Record 1
Compound: PrEr2TmSc
Source: Alexandria
Functional: PBE
Structure: relaxed Values from VASP.

Geometry as Quantum ESPRESSO input:
```
&SYSTEM
  ibrav = 0, nat = 10, ntyp = 4
/
ATOMIC_SPECIES
Pr 140.91 Pr.upf
Er 167.26 Er.upf
Tm 168.93 Tm.upf
Sc 44.96 Sc.upf
ATOMIC_POSITIONS angstrom
Pr 4.075 3.017 5.312
Pr 4.075 -3.017 1.771
Er 1.604 0.000 0.000
Er 1.604 0.000 3.541
Er 6.547 0.000 0.000
Er 6.547 0.000 3.541
Tm 4.075 3.014 1.771
Tm 4.075 -3.014 5.312
Sc 4.075 0.042 5.312
Sc 4.075 -0.042 1.771
CELL_PARAMETERS angstrom
4.075 -5.598 0.000
4.075 5.598 0.000
0.000 0.000 7.083
```

Computed properties:
Space group: Cmcm (63)
Calculated volume in Å³/atom: 32.32
ΔE_f in meV per atom: 332

Record 2
Compound: Pr5ErTm2Sc
Source: Alexandria
Functional: PBE
Structure: relaxed Values from VASP.

Geometry as Quantum ESPRESSO input:
```
&SYSTEM
  ibrav = 0, nat = 18, ntyp = 4
/
ATOMIC_SPECIES
Pr 140.91 Pr.upf
Er 167.26 Er.upf
Tm 168.93 Tm.upf
Sc 44.96 Sc.upf
ATOMIC_POSITIONS angstrom
Pr 2.692 10.909 0.000
Pr 2.692 -10.909 5.161
Pr 2.692 8.132 7.745
Pr 2.692 6.085 0.653
Pr 2.692 6.100 4.530
Pr 2.692 0.012 2.581
Pr 2.692 -0.012 7.742
Pr 2.692 -6.085 5.814
Pr 2.692 -6.100 9.691
Pr 2.692 -8.132 2.584
Er 2.692 8.703 2.582
Er 2.692 -8.703 7.743
Tm 2.692 2.514 5.207
Tm 2.692 2.501 10.279
Tm 2.692 -2.514 0.046
Tm 2.692 -2.501 5.118
Sc 2.692 4.615 7.751
Sc 2.692 -4.615 2.590
CELL_PARAMETERS angstrom
2.692 -10.914 0.000
2.692 10.914 0.000
0.000 0.000 10.322
```

Computed properties:
Space group: Cmc2_1 (36)
Calculated volume in Å³/atom: 33.70
ΔE_f in meV per atom: 126

Record 3
Compound: PrEr2Tm2Sc2
Source: Alexandria
Functional: PBE
Structure: relaxed Values from VASP.

Geometry as Quantum ESPRESSO input:
```
&SYSTEM
  ibrav = 0, nat = 7, ntyp = 4
/
ATOMIC_SPECIES
Pr 140.91 Pr.upf
Er 167.26 Er.upf
Tm 168.93 Tm.upf
Sc 44.96 Sc.upf
ATOMIC_POSITIONS angstrom
Pr 0.000 0.000 0.000
Er 5.231 0.000 4.233
Er 8.336 0.000 3.054
Tm 2.588 0.000 2.131
Tm 10.979 0.000 5.156
Sc 5.588 0.000 0.776
Sc 7.979 0.000 6.512
CELL_PARAMETERS angstrom
8.589 -1.690 0.000
8.589 1.690 0.000
-3.611 0.000 7.288
```

Computed properties:
Space group: C2/m (12)
Calculated volume in Å³/atom: 30.22
ΔE_f in meV per atom: 184

Record 4
Compound: PrErTm3Sc
Source: Alexandria
Functional: PBE
Structure: relaxed Values from VASP.

Geometry as Quantum ESPRESSO input:
```
&SYSTEM
  ibrav = 0, nat = 12, ntyp = 4
/
ATOMIC_SPECIES
Pr 140.91 Pr.upf
Er 167.26 Er.upf
Tm 168.93 Tm.upf
Sc 44.96 Sc.upf
ATOMIC_POSITIONS angstrom
Pr 2.468 7.359 7.429
Pr 2.468 -7.359 2.476
Er 2.468 0.000 0.000
Er 2.468 0.000 4.953
Tm 2.468 4.903 0.002
Tm 2.468 4.903 4.951
Tm 2.468 2.518 7.429
Tm 2.468 -2.518 2.476
Tm 2.468 -4.903 9.903
Tm 2.468 -4.903 4.955
Sc 2.468 2.500 2.476
Sc 2.468 -2.500 7.429
CELL_PARAMETERS angstrom
2.468 -7.396 0.000
2.468 7.396 0.000
0.000 0.000 9.906
```

Computed properties:
Space group: Cmcm (63)
Calculated volume in Å³/atom: 30.14
ΔE_f in meV per atom: 44

Record 5
Compound: Pr2Er4TmSc
Source: Alexandria
Functional: PBE
Structure: relaxed Values from VASP.

Geometry as Quantum ESPRESSO input:
```
&SYSTEM
  ibrav = 0, nat = 8, ntyp = 4
/
ATOMIC_SPECIES
Pr 140.91 Pr.upf
Er 167.26 Er.upf
Tm 168.93 Tm.upf
Sc 44.96 Sc.upf
ATOMIC_POSITIONS angstrom
Pr 0.000 0.000 0.000
Pr 2.505 2.505 4.953
Er 0.000 2.505 2.442
Er 0.000 2.505 7.464
Er 2.505 0.000 2.442
Er 2.505 0.000 7.464
Tm 0.000 0.000 4.953
Sc 2.505 2.505 0.000
CELL_PARAMETERS angstrom
5.009 0.000 0.000
0.000 5.009 0.000
0.000 0.000 9.906
```

Computed properties:
Space group: P4/mmm (123)
Calculated volume in Å³/atom: 31.07
ΔE_f in meV per atom: 41

Record 6
Compound: Pr6ErTm2Sc
Source: Alexandria
Functional: PBE
Structure: relaxed Values from VASP.

Geometry as Quantum ESPRESSO input:
```
&SYSTEM
  ibrav = 0, nat = 10, ntyp = 4
/
ATOMIC_SPECIES
Pr 140.91 Pr.upf
Er 167.26 Er.upf
Tm 168.93 Tm.upf
Sc 44.96 Sc.upf
ATOMIC_POSITIONS angstrom
Pr 2.317 2.151 6.216
Pr 3.410 0.000 0.494
Pr 5.950 2.151 2.500
Pr 2.317 -2.151 6.216
Pr 4.857 0.000 8.222
Pr 5.950 -2.151 2.500
Er 4.134 0.000 4.358
Tm 0.018 0.000 5.596
Tm 8.249 0.000 3.121
Sc 0.000 0.000 0.000
CELL_PARAMETERS angstrom
5.145 -3.803 0.000
5.145 3.803 0.000
-2.023 0.000 8.716
```

Computed properties:
Space group: C2/m (12)
Calculated volume in Å³/atom: 34.11
ΔE_f in meV per atom: 219

Record 7
Compound: PrEr2Tm4Sc
Source: Alexandria
Functional: PBE
Structure: relaxed Values from VASP.

Geometry as Quantum ESPRESSO input:
```
&SYSTEM
  ibrav = 0, nat = 16, ntyp = 4
/
ATOMIC_SPECIES
Pr 140.91 Pr.upf
Er 167.26 Er.upf
Tm 168.93 Tm.upf
Sc 44.96 Sc.upf
ATOMIC_POSITIONS angstrom
Pr 3.335 3.265 0.000
Pr 1.663 -3.265 2.891
Er 0.000 0.000 0.000
Er -1.672 0.000 2.891
Er 1.663 3.265 2.891
Er 3.335 -3.265 0.000
Tm 1.766 0.016 2.957
Tm 4.993 3.149 2.899
Tm 3.332 3.149 5.776
Tm 3.438 -0.016 0.065
Tm 6.559 0.016 5.718
Tm 6.665 -3.149 0.007
Tm 5.004 -3.149 2.884
Tm 8.231 -0.016 2.826
Sc 6.671 0.000 0.000
Sc 4.999 0.000 2.891
CELL_PARAMETERS angstrom
6.671 -6.529 0.000
6.671 6.529 0.000
-3.344 0.000 5.783
```

Computed properties:
Space group: C2/c (15)
Calculated volume in Å³/atom: 31.48
ΔE_f in meV per atom: 448

Record 8
Compound: PrErTm5Sc2
Source: Alexandria
Functional: PBE
Structure: relaxed Values from VASP.

Geometry as Quantum ESPRESSO input:
```
&SYSTEM
  ibrav = 0, nat = 18, ntyp = 4
/
ATOMIC_SPECIES
Pr 140.91 Pr.upf
Er 167.26 Er.upf
Tm 168.93 Tm.upf
Sc 44.96 Sc.upf
ATOMIC_POSITIONS angstrom
Pr 2.773 6.737 4.610
Pr 2.773 -6.737 0.000
Er 2.773 2.056 8.326
Er 2.773 -2.056 3.715
Tm 2.773 10.532 4.640
Tm 2.773 5.024 7.544
Tm 2.773 4.087 1.882
Tm 2.773 2.288 4.894
Tm 2.773 0.677 2.143
Tm 2.773 -0.677 6.753
Tm 2.773 -2.288 0.284
Tm 2.773 -4.087 6.492
Tm 2.773 -5.024 2.934
Tm 2.773 -10.532 0.029
Sc 2.773 8.276 7.445
Sc 2.773 7.679 1.630
Sc 2.773 -7.679 6.240
Sc 2.773 -8.276 2.835
CELL_PARAMETERS angstrom
2.773 -10.696 0.000
2.773 10.696 0.000
0.000 0.000 9.221
```

Computed properties:
Space group: Cmc2_1 (36)
Calculated volume in Å³/atom: 30.39
ΔE_f in meV per atom: 174